DFT (GGA-PBE) results for SrMgIn2Cl6 after structural relaxation.

abc: 7.519 7.519 7.495
angles: 59.86 59.87 59.97
Fractional positions:
Cl  0.478  0.628  0.788
Cl  0.562  0.160  0.265
Cl  0.013  0.562  0.265
Cl  0.105  0.477  0.789
Cl  0.160  0.013  0.266
Cl  0.628  0.105  0.789
In  0.043  0.044  0.869
In  0.537  0.537  0.390
Mg  0.318  0.318  0.047
Sr  0.818  0.818  0.547

DOS(E_F) (states/eV per cell): 0.0
VASP energy (eV for the cell shown): -35.826
Space-group type: R3 (146)
Magnetization (μB per atom): 0.000

DFT (GGA-PBE) results for Ba2SeI2 after structural relaxation.

abc: 8.959 8.959 5.145
angles: 90.00 90.00 90.00
Fractional positions:
I  0.358  0.142  0.500
I  0.642  0.858  0.500
I  0.142  0.642  0.500
I  0.858  0.358  0.500
Ba  0.677  0.177  0.000
Ba  0.823  0.677  0.000
Ba  0.323  0.823  0.000
Ba  0.177  0.323  0.000
Se  0.000  0.000  0.000
Se  0.500  0.500  0.000

DOS(E_F) (states/eV per cell): 0.0
VASP energy (eV for the cell shown): -37.220
Space-group type: P4/mbm (127)
Magnetization (μB per atom): 0.000

DFT (GGA-PBE) results for Sm4PtPb2 after structural relaxation.

abc: 6.980 6.869 9.951
angles: 90.00 116.83 90.00
Fractional positions:
Sm  0.572  0.505  0.758
Sm  0.428  0.005  0.242
Sm  0.137  0.750  0.859
Sm  0.080  0.750  0.406
Sm  0.428  0.495  0.242
Sm  0.863  0.250  0.141
Sm  0.920  0.250  0.594
Sm  0.572  0.995  0.758
Pb  0.653  0.750  0.070
Pb  0.723  0.750  0.540
Pb  0.347  0.250  0.930
Pb  0.277  0.250  0.460
Pt  0.070  0.750  0.113
Pt  0.930  0.250  0.887

DOS(E_F) (states/eV per cell): 11.0
VASP energy (eV for the cell shown): -72.752
Space-group type: P2_1/m (11)
Magnetization (μB per atom): 0.001

DFT (GGA-PBE) results for Pm3Ge after structural relaxation.

abc: 4.024 5.143 6.557
angles: 113.09 107.87 90.00
Fractional positions:
Pm  0.705  0.120  0.409
Pm  0.500  0.417  0.000
Pm  0.295  0.711  0.591
Ge  0.000  0.918  0.000

DOS(E_F) (states/eV per cell): 4.8
VASP energy (eV for the cell shown): -20.269
Space-group type: Imm2 (44)
Energy above the lowest structure with this stoichiometry (eV per formula unit): 0.42
Magnetization (μB per atom): 0.000

DFT (GGA-PBE) results for LaPmGeH after structural relaxation.

abc: 5.034 5.034 5.034
angles: 60.00 60.00 60.00
Fractional positions:
Ge  0.250  0.250  0.250
H  0.750  0.750  0.750
La  0.500  0.500  0.500
Pm  0.000  0.000  0.000

DOS(E_F) (states/eV per cell): 2.1
VASP energy (eV for the cell shown): -19.510
Space-group type: F-43m (216)
Magnetization (μB per atom): 0.000

DFT (GGA-PBE) results for Tm4Te2AsAu after structural relaxation.

abc: 4.119 7.359 7.411
angles: 71.49 90.00 90.00
Fractional positions:
Te  0.000  0.000  0.000
Te  0.500  0.000  0.500
As  0.000  0.500  0.500
Tm  0.000  0.719  0.760
Tm  0.500  0.280  0.737
Tm  0.000  0.281  0.240
Tm  0.500  0.720  0.263
Au  0.500  0.500  0.000

DOS(E_F) (states/eV per cell): 4.7
VASP energy (eV for the cell shown): -41.663
Space-group type: P2/m (10)
Magnetization (μB per atom): 0.000